Density functional theory data (PBE-GGA) for a geometry-optimized Li2AsAu structure.

The structure belongs to space group Immm (No. 71); the cell edges are 3.909, 3.997 and 9.845 Å and the angles 90.00°, 90.00° and 90.00°. Symmetry generates all atoms from Li at (0.000, 0.000, 0.248), As at (0.000, 0.000, 0.000) and Au at (0.000, 0.000, 0.500).

The total magnetic moment comes out at 0.000 μB per formula unit. The total DFT energy (no corrections) is -3.04 eV/atom.

=====

Density functional theory data (PBE-GGA) for a geometry-optimized YTa2Tc structure.

The structure belongs to space group P4/mmm (No. 123); the cell edges are 3.216, 3.216 and 7.660 Å and the angles 90.00°, 90.00° and 90.00°. Symmetry generates all atoms from Y at (0.000, 0.000, 0.000), Ta at (0.500, 0.500, 0.301) and Tc at (0.000, 0.000, 0.500).

The total magnetic moment comes out at 0.000 μB per formula unit. The calculation puts the energy above the most stable polymorph in this dataset at 9 meV per atom. The total DFT energy (no corrections) is -10.08 eV/atom.

=====

Density functional theory data (PBE-GGA) for a geometry-optimized Rb2MoIr structure.

The structure belongs to space group Fm-3m (No. 225); the cell edges are 7.927, 7.927 and 7.927 Å and the angles 90.00°, 90.00° and 90.00°. Symmetry generates all atoms from Rb at (0.250, 0.250, 0.250), Mo at (0.000, 0.000, 0.000) and Ir at (0.000, 0.000, 0.500).

The total magnetic moment comes out at 4.983 μB per formula unit. The calculation puts the energy above the most stable polymorph in this dataset at 839 meV per atom. The total DFT energy (no corrections) is -3.39 eV/atom.

=====

Density functional theory data (PBE-GGA) for a geometry-optimized TaAl2PtCl structure.

The structure belongs to space group P4/mmm (No. 123); the cell edges are 4.724, 4.724 and 5.195 Å and the angles 90.00°, 90.00° and 90.00°. Symmetry generates all atoms from Ta at (0.000, 0.000, 0.000), Al at (0.000, 0.500, 0.500), Pt at (0.000, 0.000, 0.500) and Cl at (0.500, 0.500, 0.000).

The total magnetic moment comes out at 1.859 μB per formula unit. The value obtained for the formation energy (no corrections) is 226 meV per atom. The total DFT energy (no corrections) is -5.22 eV/atom.